# 1
# Sm3Ge5Rh6, optimized geometry, DFT PBE-GGA
# Total magnetization, μB/cell: 0.00
# Formation enthalpy at 0 K, eV per atom: -0.88
data_Sm3Ge5Rh6
_chemical_formula_sum 'Sm6 Ge10 Rh12'
_cell_length_a 4.0992
_cell_length_b 9.8382
_cell_length_c 12.7482
_cell_angle_alpha 90.00
_cell_angle_beta 90.00
_cell_angle_gamma 90.00
_space_group_name_H-M_alt 'P 1'
_space_group_IT_number 1
_space_group_name_Hall 'P 1'
loop_
_atom_site_label
_atom_site_type_symbol
_atom_site_fract_x
_atom_site_fract_y
_atom_site_fract_z
Ge1 Ge 0.0000 0.8519 0.6707
Ge2 Ge 0.0000 0.8519 0.3293
Ge3 Ge 0.0000 0.5151 0.1203
Rh1 Rh 0.5000 0.4011 0.2002
Sm1 Sm 0.5000 0.7478 0.8369
Rh2 Rh 0.5000 0.0151 0.0000
Ge4 Ge 0.5000 0.4849 0.3797
Ge5 Ge 0.0000 0.5151 0.8797
Rh3 Rh 0.0000 0.5989 0.7002
Rh4 Rh 0.0000 0.4898 0.5000
Sm2 Sm 0.0000 0.2539 0.0000
Rh5 Rh 0.5000 0.9950 0.6678
Rh6 Rh 0.0000 0.0050 0.1678
Ge6 Ge 0.5000 0.4849 0.6203
Rh7 Rh 0.5000 0.5102 0.0000
Sm3 Sm 0.0000 0.2522 0.6631
Sm4 Sm 0.5000 0.7478 0.1631
Ge7 Ge 0.5000 0.1481 0.1707
Rh8 Rh 0.0000 0.9849 0.5000
Rh9 Rh 0.0000 0.0050 0.8322
Rh10 Rh 0.0000 0.5989 0.2998
Ge8 Ge 0.0000 0.8737 0.0000
Sm5 Sm 0.5000 0.7461 0.5000
Rh11 Rh 0.5000 0.9950 0.3322
Ge9 Ge 0.5000 0.1263 0.5000
Sm6 Sm 0.0000 0.2522 0.3369
Rh12 Rh 0.5000 0.4011 0.7998
Ge10 Ge 0.5000 0.1481 0.8293

# 2
# ZnSbTe, optimized geometry, DFT PBE-GGA
# Energy relative to the elements, uncorrected, eV/f.u.: 0.373
# Excess energy over the best structure of this formula in the dataset, eV per formula unit: 0.36
# Total magnetization, μB/cell: 0.00
data_ZnSbTe
_chemical_formula_sum 'Zn1 Sb1 Te1'
_cell_length_a 3.3998
_cell_length_b 3.3998
_cell_length_c 8.1421
_cell_angle_alpha 90.00
_cell_angle_beta 90.00
_cell_angle_gamma 120.00
_space_group_name_H-M_alt 'P 1'
_space_group_IT_number 1
_space_group_name_Hall 'P 1'
loop_
_atom_site_label
_atom_site_type_symbol
_atom_site_fract_x
_atom_site_fract_y
_atom_site_fract_z
Te1 Te 0.3333 0.6667 0.4084
Sb1 Sb 0.0000 0.0000 0.9265
Zn1 Zn 0.6667 0.3333 0.6652

# 3
# La12TmHg6, optimized geometry, DFT PBE-GGA
# Total magnetization, μB/cell: 0.00
# Formation enthalpy at 0 K, eV per atom: -0.24
data_La12TmHg6
_chemical_formula_sum 'La12 Tm1 Hg6'
_cell_length_a 8.3725
_cell_length_b 8.3725
_cell_length_c 8.3725
_cell_angle_alpha 88.66
_cell_angle_beta 88.66
_cell_angle_gamma 88.66
_space_group_name_H-M_alt 'P 1'
_space_group_IT_number 1
_space_group_name_Hall 'P 1'
loop_
_atom_site_label
_atom_site_type_symbol
_atom_site_fract_x
_atom_site_fract_y
_atom_site_fract_z
La1 La 0.1554 0.3929 0.0495
La2 La 0.4620 0.5685 0.1838
La3 La 0.0495 0.1554 0.3929
La4 La 0.5685 0.1838 0.4620
La5 La 0.6071 0.9505 0.8446
La6 La 0.3929 0.0495 0.1554
Tm1 Tm 0.0000 0.0000 0.0000
Hg1 Hg 0.7383 0.8816 0.2466
Hg2 Hg 0.1184 0.7534 0.2617
Hg3 Hg 0.2466 0.7383 0.8816
La7 La 0.5380 0.4315 0.8162
La8 La 0.9505 0.8446 0.6071
La9 La 0.8162 0.5380 0.4315
La10 La 0.8446 0.6071 0.9505
Hg4 Hg 0.2617 0.1184 0.7534
La11 La 0.1838 0.4620 0.5685
La12 La 0.4315 0.8162 0.5380
Hg5 Hg 0.7534 0.2617 0.1184
Hg6 Hg 0.8816 0.2466 0.7383

# 4
# ScAlF3, optimized geometry, DFT PBE-GGA
# Energy relative to the elements, uncorrected, eV/f.u.: -9.466
# Excess energy over the best structure of this formula in the dataset, eV per formula unit: 2.91
# Total magnetization, μB/cell: 1.59
data_ScAlF3
_chemical_formula_sum 'Sc1 Al1 F3'
_cell_length_a 4.1442
_cell_length_b 4.1442
_cell_length_c 4.1442
_cell_angle_alpha 90.00
_cell_angle_beta 90.00
_cell_angle_gamma 90.00
_space_group_name_H-M_alt 'P 1'
_space_group_IT_number 1
_space_group_name_Hall 'P 1'
loop_
_atom_site_label
_atom_site_type_symbol
_atom_site_fract_x
_atom_site_fract_y
_atom_site_fract_z
Al1 Al 0.0000 0.0000 0.0000
F1 F 0.0000 0.5000 0.0000
Sc1 Sc 0.5000 0.5000 0.5000
F2 F 0.0000 0.0000 0.5000
F3 F 0.5000 0.0000 0.0000

# 5
# CaAlTc2Te, optimized geometry, DFT PBE-GGA
# Energy relative to the elements, uncorrected, eV/f.u.: 4.082
# Excess energy over the best structure of this formula in the dataset, eV per formula unit: 0.00
# Total magnetization, μB/cell: 4.04
data_CaAlTc2Te
_chemical_formula_sum 'Ca1 Al1 Tc2 Te1'
_cell_length_a 4.6713
_cell_length_b 5.4273
_cell_length_c 4.6713
_cell_angle_alpha 90.00
_cell_angle_beta 90.00
_cell_angle_gamma 90.00
_space_group_name_H-M_alt 'P 1'
_space_group_IT_number 1
_space_group_name_Hall 'P 1'
loop_
_atom_site_label
_atom_site_type_symbol
_atom_site_fract_x
_atom_site_fract_y
_atom_site_fract_z
Te1 Te 0.5000 0.5000 0.5000
Tc1 Tc 0.5000 0.0000 0.0000
Al1 Al 0.0000 0.0000 0.0000
Tc2 Tc 0.0000 0.0000 0.5000
Ca1 Ca 0.0000 0.5000 0.0000

# 6
# CaTh3Ni8, optimized geometry, DFT PBE-GGA
# Total magnetization, μB/cell: 0.00
# Formation enthalpy at 0 K, eV per atom: -0.34
data_CaTh3Ni8
_chemical_formula_sum 'Ca1 Th3 Ni8'
_cell_length_a 5.1518
_cell_length_b 5.1518
_cell_length_c 8.9495
_cell_angle_alpha 73.27
_cell_angle_beta 73.27
_cell_angle_gamma 60.00
_space_group_name_H-M_alt 'P 1'
_space_group_IT_number 1
_space_group_name_Hall 'P 1'
loop_
_atom_site_label
_atom_site_type_symbol
_atom_site_fract_x
_atom_site_fract_y
_atom_site_fract_z
Ni1 Ni 0.4364 0.9398 0.1873
Ni2 Ni 0.4361 0.9379 0.6880
Ni3 Ni 0.6878 0.6878 0.9366
Th1 Th 0.5041 0.5041 0.4877
Ni4 Ni 0.9379 0.9379 0.6880
Th2 Th 0.9959 0.9959 0.0123
Ni5 Ni 0.9398 0.4364 0.1873
Ni6 Ni 0.1877 0.1877 0.4369
Ca1 Ca 0.8731 0.8731 0.3808
Ni7 Ni 0.9379 0.4361 0.6880
Ni8 Ni 0.4364 0.4364 0.1873
Th3 Th 0.3768 0.3768 0.8695

# 7
# Mo3Ru, optimized geometry, DFT PBE-GGA
# Total magnetization, μB/cell: 0.00
# Formation enthalpy at 0 K, eV per atom: 0.22
data_Mo3Ru
_chemical_formula_sum 'Mo6 Ru2'
_cell_length_a 5.6627
_cell_length_b 5.6627
_cell_length_c 4.4452
_cell_angle_alpha 90.00
_cell_angle_beta 90.00
_cell_angle_gamma 120.00
_space_group_name_H-M_alt 'P 1'
_space_group_IT_number 1
_space_group_name_Hall 'P 1'
loop_
_atom_site_label
_atom_site_type_symbol
_atom_site_fract_x
_atom_site_fract_y
_atom_site_fract_z
Mo1 Mo 0.1673 0.3346 0.7500
Mo2 Mo 0.6654 0.8327 0.7500
Mo3 Mo 0.3346 0.1673 0.2500
Ru1 Ru 0.6667 0.3333 0.7500
Ru2 Ru 0.3333 0.6667 0.2500
Mo4 Mo 0.8327 0.1673 0.2500
Mo5 Mo 0.1673 0.8327 0.7500
Mo6 Mo 0.8327 0.6654 0.2500

# 8
# CrFe2P, optimized geometry, DFT PBE-GGA
# Total magnetization, μB/cell: 1.59
# Formation enthalpy at 0 K, eV per atom: -0.03
data_CrFe2P
_chemical_formula_sum 'Cr1 Fe2 P1'
_cell_length_a 4.0393
_cell_length_b 4.0393
_cell_length_c 2.6791
_cell_angle_alpha 90.00
_cell_angle_beta 90.00
_cell_angle_gamma 101.13
_space_group_name_H-M_alt 'P 1'
_space_group_IT_number 1
_space_group_name_Hall 'P 1'
loop_
_atom_site_label
_atom_site_type_symbol
_atom_site_fract_x
_atom_site_fract_y
_atom_site_fract_z
Cr1 Cr 0.0000 0.5000 0.5000
Fe1 Fe 0.5000 0.5000 0.0000
Fe2 Fe 0.0000 0.0000 0.0000
P1 P 0.5000 0.0000 0.5000